(A)
The following is a DFT calculation (PBE) of a geometry-optimized NaRu2O8 structure.

Cell: 6.153 6.412 6.160 Å, 107.13 90.00 118.67°
Site moments in Bohr magnetons follow the coordinates.
Element x y z (fractional)
O1 0.143 0.286 0.384  0.04
O2 0.857 0.714 0.616  0.04
O3 0.090 0.729 0.218  0.05
O4 0.361 0.271 0.782  0.05
O5 0.643 0.285 0.210  0.05
O6 0.910 0.271 0.782  0.05
O7 0.357 0.715 0.790  0.05
O8 0.639 0.729 0.218  0.05
Na1 0.000 0.000 0.000  0.00
Ru1 0.195 0.390 0.684  0.26
Ru2 0.805 0.610 0.316  0.26

Crystal system: monoclinic
Density of states at the Fermi level in states/eV per atom: 0.610

=====

(B)
The following is a DFT calculation (PBE) of a geometry-optimized NaRu2O8 structure.

Cell: 4.689 4.689 6.092 Å, 90.00 90.00 90.00°
Site moments in Bohr magnetons follow the coordinates.
Element x y z (fractional)
O1 0.250 0.750 0.806  0.34
O2 0.750 0.250 0.194  0.34
O3 0.250 0.250 0.194  0.34
O4 0.750 0.750 0.806  0.34
O5 0.750 0.250 0.806  0.34
O6 0.250 0.250 0.806  0.34
O7 0.250 0.750 0.194  0.34
O8 0.750 0.750 0.194  0.34
Ru1 0.500 0.000 0.000  0.57
Ru2 0.000 0.500 0.000  0.57
Na1 0.500 0.500 0.500  0.00

Crystal system: tetragonal
Density of states at the Fermi level in states/eV per atom: 0.892

=====

In terms of stability, (A) leads; the second structure lies 547 meV/atom higher.

=====

(A)
The following is a DFT calculation (PBE) of a geometry-optimized Na2RuO4 structure.

Cell: 6.516 6.516 6.520 Å, 59.98 59.98 90.00°
Site moments in Bohr magnetons follow the coordinates.
Element x y z (fractional)
Na1 0.500 0.000 0.000  0.01
Na2 0.500 0.500 0.500  0.01
Na3 0.000 0.000 0.000  0.01
Na4 0.500 0.000 0.500  0.01
O1 0.762 0.738 0.524  0.18
O2 0.214 0.738 0.524  0.18
O3 0.786 0.262 0.476  0.18
O4 0.238 0.714 0.024  0.18
O5 0.238 0.262 0.024  0.18
O6 0.238 0.262 0.476  0.18
O7 0.762 0.286 0.976  0.18
O8 0.762 0.738 0.976  0.18
Ru1 0.125 0.375 0.250  1.07
Ru2 0.875 0.625 0.750  1.07

Crystal system: cubic
Density of states at the Fermi level in states/eV per atom: 0.056

=====

(B)
The following is a DFT calculation (PBE) of a geometry-optimized Na2RuO4 structure.

Cell: 3.848 3.848 6.656 Å, 73.20 73.20 90.00°
Site moments in Bohr magnetons follow the coordinates.
Element x y z (fractional)
O1 0.500 0.000 0.000  0.04
O2 0.844 0.844 0.312  0.25
O3 0.000 0.500 0.000  0.04
O4 0.156 0.156 0.688  0.25
Na1 0.346 0.346 0.309  0.00
Na2 0.654 0.654 0.691  0.00
Ru1 0.000 0.000 0.000  0.72

Crystal system: tetragonal
Density of states at the Fermi level in states/eV per atom: 0.616

=====

(C)
The following is a DFT calculation (PBE) of a geometry-optimized Na2RuO4 structure.

Cell: 5.762 5.762 5.771 Å, 120.36 120.05 89.56°
Site moments in Bohr magnetons follow the coordinates.
Element x y z (fractional)
Na1 0.250 0.750 0.498  0.01
Na2 0.749 0.248 0.498  0.01
O1 0.944 0.308 0.252  0.17
O2 0.307 0.942 0.249  0.17
O3 0.057 0.057 0.751  0.17
O4 0.694 0.694 0.751  0.17
Ru1 0.000 0.000 0.000  1.08

Crystal system: monoclinic
Density of states at the Fermi level in states/eV per atom: 0.030

=====

(D)
The following is a DFT calculation (PBE) of a geometry-optimized Na2RuO4 structure.

Cell: 7.134 10.850 11.086 Å, 119.48 90.00 90.00°
Site moments in Bohr magnetons follow the coordinates.
Element x y z (fractional)
Na1 0.518 0.816 0.915  0.00
Na2 0.457 0.695 0.590  0.00
Na3 0.415 0.352 0.924  0.01
Na4 0.003 0.843 0.898  0.01
Na5 0.543 0.305 0.410  0.00
Na6 0.085 0.352 0.424  0.01
Na7 0.503 0.157 0.602  0.01
Na8 0.982 0.816 0.415  0.00
Na9 0.915 0.648 0.576  0.01
Na10 0.957 0.305 0.910  0.00
Na11 0.043 0.695 0.090  0.00
Na12 0.018 0.184 0.585  0.00
Na13 0.482 0.184 0.085  0.00
Na14 0.997 0.157 0.102  0.01
Na15 0.585 0.648 0.076  0.01
Na16 0.497 0.843 0.398  0.01
Ru1 0.774 0.002 0.249  1.15
Ru2 0.226 0.998 0.751  1.15
Ru3 0.251 0.500 0.250  1.15
Ru4 0.726 0.002 0.749  1.15
Ru5 0.249 0.500 0.750  1.15
Ru6 0.751 0.500 0.250  1.15
Ru7 0.274 0.998 0.251  1.15
Ru8 0.749 0.500 0.750  1.15
O1 0.727 0.327 0.233  0.15
O2 0.227 0.673 0.267  0.15
O3 0.995 0.488 0.660  0.10
O4 0.307 0.338 0.593  0.14
O5 0.316 0.991 0.898  0.19
O6 0.495 0.512 0.840  0.10
O7 0.355 0.484 0.389  0.20
O8 0.505 0.488 0.160  0.10
O9 0.975 0.050 0.851  0.09
O10 0.724 0.837 0.753  0.13
O11 0.862 0.166 0.387  0.18
O12 0.145 0.484 0.889  0.20
O13 0.776 0.837 0.253  0.13
O14 0.224 0.163 0.747  0.13
O15 0.475 0.950 0.649  0.09
O16 0.645 0.516 0.611  0.20
O17 0.773 0.327 0.733  0.15
O18 0.684 0.009 0.102  0.19
O19 0.273 0.673 0.767  0.15
O20 0.807 0.662 0.907  0.14
O21 0.638 0.166 0.887  0.18
O22 0.816 0.009 0.602  0.19
O23 0.138 0.834 0.613  0.18
O24 0.025 0.950 0.149  0.09
O25 0.855 0.516 0.111  0.20
O26 0.184 0.991 0.398  0.19
O27 0.693 0.662 0.407  0.14
O28 0.193 0.338 0.093  0.14
O29 0.276 0.163 0.247  0.13
O30 0.525 0.050 0.351  0.09
O31 0.005 0.512 0.340  0.10
O32 0.362 0.834 0.113  0.18

Crystal system: monoclinic
Density of states at the Fermi level in states/eV per atom: 0.077

=====

In terms of stability, (D) leads; the second structure lies 42 meV/atom higher.